Below is Ce2Nd3NpN6 after structural relaxation, with properties calculated at the PBE-GGA level.

Values from the calculation:
Calculated density ... 8.830 Mg/m³
D(E_F) ... 1.193 states/eV per atom
Energy relative to the elements, uncorrected ... -1384 meV per atom
Crystal system ... monoclinic
Uncorrected energy ... -105.678 eV/cell
V ... 194.46 Å³/cell

Cell lengths 6.192, 6.192, 6.208 Å; angles 99.61, 99.61, 119.95 degrees
Positions (direct):
N  0.390  0.075  0.224
N  0.759  0.759  0.228
N  0.241  0.241  0.772
N  0.075  0.390  0.224
N  0.610  0.925  0.776
N  0.925  0.610  0.776
Nd  0.500  0.500  0.500
Nd  0.833  0.167  0.500
Nd  0.167  0.833  0.500
Ce  0.666  0.334  0.000
Ce  0.334  0.666  0.000
Np  0.000  0.000  0.000